This record from Alexandria via LeMat-Bulk describes KCr3B after structural relaxation. The functional is GGA-PBE.

POSCAR file:
```
KCr3B
1.0
4.124 0.000 0.000
0.000 4.124 0.000
0.000 0.000 4.124
K Cr B
1 3 1
direct
0.000 0.000 0.000
0.000 0.000 0.500
0.000 0.500 0.000
0.500 0.000 0.000
0.500 0.500 0.500
```

Output
energy relative to the lowest polymorph listed for this composition = 12.20 eV/f.u.
E = -3.855 eV/atom